a) This record from Alexandria describes GdLuH after structural relaxation. The functional is GGA-PBE.

extended XYZ file:
```
3
Lattice="3.575 0.000 0.000 -1.788 3.096 0.000 0.000 0.000 5.563" Properties=species:S:1:pos:R:3 pbc="T T T"
Gd 0.000 0.000 5.087
H 0.000 2.064 3.682
Lu 1.788 1.032 2.357
```

Computed properties:
V (Å³ per atom): 20.5
Fermi-level density of states (states/eV/f.u.): 3.070
Crystal system: trigonal
SG: P3m1, No. 156

***

b) This record from Alexandria describes GdLuH after structural relaxation. The functional is GGA-PBE.

extended XYZ file:
```
3
Lattice="3.340 0.000 0.000 0.000 3.340 0.000 -1.670 -1.670 5.980" Properties=species:S:1:pos:R:3 pbc="T T T"
Gd 1.670 1.670 2.941
H 0.000 0.000 2.611
Lu 0.000 0.000 0.428
```

Computed properties:
V (Å³ per atom): 22.2
Fermi-level density of states (states/eV/f.u.): 2.614
Crystal system: tetragonal
SG: I4mm, No. 107

***

Verdict on stability: b) comes out at the bottom.

***

a) This record from Alexandria describes GdMgH after structural relaxation. The functional is GGA-PBE.

extended XYZ file:
```
3
Lattice="-2.183 1.293 -2.588 1.488 -3.286 -0.359 -4.303 -2.224 2.519" Properties=species:S:1:pos:R:3 pbc="T T T"
Mg -4.117 -2.128 2.410
Gd -2.926 -1.249 -0.694
H -2.258 -3.063 0.375
```

Computed properties:
V (Å³ per atom): 20.7
Fermi-level density of states (states/eV/f.u.): 2.466
Crystal system: trigonal
SG: P3m1, No. 156

***

b) This record from Alexandria describes GdMgH after structural relaxation. The functional is GGA-PBE.

extended XYZ file:
```
6
Lattice="-0.831 0.337 3.181 -2.427 -2.207 -0.400 6.396 -7.480 2.464" Properties=species:S:1:pos:R:3 pbc="T T T"
Gd 5.066 -6.242 3.702
Gd -0.299 -2.173 0.152
H 4.641 -7.950 2.055
H 0.126 -0.465 1.799
Mg 2.660 -5.634 1.292
Mg 2.107 -2.781 2.562
```

Computed properties:
V (Å³ per atom): 18.5
Fermi-level density of states (states/eV/f.u.): 1.516
Crystal system: tetragonal
SG: P4/nmm, No. 129

***

Verdict on stability: a) comes out at the bottom.